This record from the Alexandria database describes a relaxed structure of HAu2Br6. The functional is GGA-PBE.

- density of states at the Fermi level (states/eV/cell) = 11.850
- E_tot (eV/cell) = -81.235
- V (Å³/f.u.) = 336.0
- total moment (μB per formula unit) = 0.00

a b c (Å): 12.357 16.571 7.647
angles (deg): 90.00 120.87 90.00
Space group C2/c (No. 15)
Unique sites:
H  0.000  0.198  0.250 x4
Au  0.247  0.341  0.316 x8
Br  0.115  0.040  0.626 x8
Br  0.123  0.365  0.947 x8
Br  0.150  0.190  0.290 x8